{
  "formula": "Ba6PtAu2O",
  "functional": "PBE",
  "state": "optimized geometry",
  "space_group": "P2_1/c, No. 14",
  "n_ef_per_ev_fu": 6.0,
  "total_energy_ev_per_atom": -3.847,
  "e_form_raw_mev_per_atom": -938,
  "lattice_angstrom": [[7.672, 0.000, -0.004], [0.000, 8.436, 0.000], [0.061, 0.000, 11.281]],
  "species": ["Ba", "Ba", "Ba", "Ba", "Ba", "Ba", "Ba", "Ba", "Ba", "Ba", "Ba", "Ba", "Pt", "Pt", "Au", "Au", "Au", "Au", "O", "O"],
  "frac_coords": [[0.302, 0.675, 0.058], [0.802, 0.825, 0.558], [0.698, 0.325, 0.942], [0.198, 0.175, 0.442], [0.330, 0.697, 0.439], [0.830, 0.803, 0.939], [0.670, 0.303, 0.561], [0.170, 0.197, 0.061], [0.879, 0.532, 0.236], [0.379, 0.968, 0.736], [0.121, 0.468, 0.764], [0.621, 0.032, 0.264], [0.500, 0.000, 0.000], [0.000, 0.500, 0.500], [0.043, 0.901, 0.251], [0.543, 0.599, 0.751], [0.957, 0.099, 0.749], [0.457, 0.401, 0.249], [0.500, 0.000, 0.500], [0.000, 0.500, 0.000]]
}